YINO2: relaxed, PBE.

Uncorrected formation energy ... 148 meV per atom
Space-group type ... P4/mmm

Cell: 4.271 4.271 4.077 Å, 90.00 90.00 90.00°
Sites, in units of the cell vectors:
Y: 0.000 0.000 0.000
I: 0.500 0.500 0.000
N: 0.500 0.500 0.500
O: 0.000 0.500 0.500
O: 0.500 0.000 0.500

YIN2O: relaxed, PBE.

Uncorrected formation energy ... 1083 meV per atom
Space-group type ... P4/mmm

Cell: 4.300 4.300 4.047 Å, 90.00 90.00 90.00°
Sites, in units of the cell vectors:
Y: 0.000 0.000 0.000
I: 0.500 0.500 0.000
N: 0.000 0.500 0.500
N: 0.500 0.000 0.500
O: 0.500 0.500 0.500

YINO2: relaxed, PBE.

Uncorrected formation energy ... -164 meV per atom
Space-group type ... P4/mmm

Cell: 4.248 4.248 4.276 Å, 90.00 90.00 90.00°
Sites, in units of the cell vectors:
Y: 0.000 0.000 0.000
I: 0.500 0.500 0.500
N: 0.500 0.500 0.000
O: 0.000 0.500 0.500
O: 0.500 0.000 0.500

YINO2: relaxed, PBE.

Uncorrected formation energy ... -162 meV per atom
Space-group type ... P4/mmm

Cell: 4.323 4.323 4.758 Å, 90.00 90.00 90.00°
Sites, in units of the cell vectors:
Y: 0.000 0.000 0.000
I: 0.500 0.500 0.500
N: 0.000 0.000 0.500
O: 0.000 0.500 0.000
O: 0.500 0.000 0.000

YIN2O: relaxed, PBE.

Uncorrected formation energy ... 718 meV per atom
Space-group type ... P4/mmm

Cell: 4.637 4.637 4.204 Å, 90.00 90.00 90.00°
Sites, in units of the cell vectors:
Y: 0.000 0.000 0.000
I: 0.500 0.500 0.500
N: 0.000 0.500 0.000
N: 0.500 0.000 0.000
O: 0.000 0.000 0.500

YINO2: relaxed, PBE.

Uncorrected formation energy ... -144 meV per atom
Space-group type ... P4/mmm

Cell: 4.282 4.282 6.787 Å, 90.00 90.00 90.00°
Sites, in units of the cell vectors:
Y: 0.000 0.000 0.000
I: 0.000 0.000 0.500
N: 0.500 0.500 0.500
O: 0.000 0.500 0.000
O: 0.500 0.000 0.000

YIN2O: relaxed, PBE.

Uncorrected formation energy ... 274 meV per atom
Space-group type ... P4/mmm

Cell: 4.193 4.193 4.108 Å, 90.00 90.00 90.00°
Sites, in units of the cell vectors:
Y: 0.000 0.000 0.000
I: 0.500 0.500 0.500
N: 0.000 0.500 0.500
N: 0.500 0.000 0.500
O: 0.500 0.500 0.000

YIN2O: relaxed, PBE.

Uncorrected formation energy ... 1108 meV per atom
Space-group type ... P4/mmm

Cell: 4.661 4.661 6.175 Å, 90.00 90.00 90.00°
Sites, in units of the cell vectors:
Y: 0.000 0.000 0.000
I: 0.000 0.000 0.500
N: 0.000 0.500 0.000
N: 0.500 0.000 0.000
O: 0.500 0.500 0.500

ZnI2NO: relaxed, PBE.

Relative energy among the computed polymorphs ... 242 meV/atom
Uncorrected formation energy ... 1125 meV per atom
Space-group type ... P4/mmm

Cell: 5.930 5.930 3.685 Å, 90.00 90.00 90.00°
Sites, in units of the cell vectors:
Zn: 0.000 0.000 0.000
I: 0.000 0.500 0.000
I: 0.500 0.000 0.000
N: 0.000 0.000 0.500
O: 0.500 0.500 0.500

ZnI2NO: relaxed, PBE.

Relative energy among the computed polymorphs ... 0 meV/atom
Uncorrected formation energy ... 883 meV per atom
Space-group type ... P4/mmm

Cell: 6.810 6.810 3.407 Å, 90.00 90.00 90.00°
Sites, in units of the cell vectors:
Zn: 0.000 0.000 0.000
I: 0.000 0.500 0.000
I: 0.500 0.000 0.000
N: 0.500 0.500 0.500
O: 0.000 0.000 0.500

ZnI2NO: relaxed, PBE.

Relative energy among the computed polymorphs ... 197 meV/atom
Uncorrected formation energy ... 1080 meV per atom
Space-group type ... P4/mmm

Cell: 5.050 5.050 3.708 Å, 90.00 90.00 90.00°
Sites, in units of the cell vectors:
Zn: 0.000 0.000 0.000
I: 0.000 0.500 0.500
I: 0.500 0.000 0.500
N: 0.500 0.500 0.500
O: 0.500 0.500 0.000

ZrI2NO: relaxed, PBE.

Relative energy among the computed polymorphs ... 1303 meV/atom
Uncorrected formation energy ... 1099 meV per atom
Space-group type ... P4/mmm

Cell: 4.903 4.903 3.866 Å, 90.00 90.00 90.00°
Sites, in units of the cell vectors:
Zr: 0.000 0.000 0.000
I: 0.000 0.500 0.500
I: 0.500 0.000 0.500
N: 0.500 0.500 0.000
O: 0.500 0.500 0.500

ZrI2NO: relaxed, PBE.

Relative energy among the computed polymorphs ... 0 meV/atom
Uncorrected formation energy ... -204 meV per atom
Space-group type ... P4/mmm

Cell: 5.890 5.890 4.029 Å, 90.00 90.00 90.00°
Sites, in units of the cell vectors:
Zr: 0.000 0.000 0.000
I: 0.000 0.500 0.000
I: 0.500 0.000 0.000
N: 0.500 0.500 0.500
O: 0.000 0.000 0.500

ZrI2NO: relaxed, PBE.

Relative energy among the computed polymorphs ... 1073 meV/atom
Uncorrected formation energy ... 869 meV per atom
Space-group type ... P4/mmm

Cell: 4.948 4.948 3.751 Å, 90.00 90.00 90.00°
Sites, in units of the cell vectors:
Zr: 0.000 0.000 0.000
I: 0.000 0.500 0.500
I: 0.500 0.000 0.500
N: 0.500 0.500 0.500
O: 0.500 0.500 0.000

ZrI2NO: relaxed, PBE.

Relative energy among the computed polymorphs ... 693 meV/atom
Uncorrected formation energy ... 489 meV per atom
Space-group type ... P4/mmm

Cell: 5.796 5.796 4.040 Å, 90.00 90.00 90.00°
Sites, in units of the cell vectors:
Zr: 0.000 0.000 0.000
I: 0.000 0.500 0.000
I: 0.500 0.000 0.000
N: 0.000 0.000 0.500
O: 0.500 0.500 0.500

ZrINO2: relaxed, PBE.

Uncorrected formation energy ... 491 meV per atom
Space-group type ... P4/mmm

Cell: 4.178 4.178 4.258 Å, 90.00 90.00 90.00°
Sites, in units of the cell vectors:
Zr: 0.000 0.000 0.000
I: 0.500 0.500 0.500
N: 0.500 0.500 0.000
O: 0.000 0.500 0.500
O: 0.500 0.000 0.500

ZrINO2: relaxed, PBE.

Uncorrected formation energy ... 683 meV per atom
Space-group type ... P4/mmm

Cell: 4.146 4.146 4.060 Å, 90.00 90.00 90.00°
Sites, in units of the cell vectors:
Zr: 0.000 0.000 0.000
I: 0.500 0.500 0.000
N: 0.500 0.500 0.500
O: 0.000 0.500 0.500
O: 0.500 0.000 0.500

ZrINO2: relaxed, PBE.

Uncorrected formation energy ... -512 meV per atom
Space-group type ... P4/mmm

Cell: 4.011 4.011 6.428 Å, 90.00 90.00 90.00°
Sites, in units of the cell vectors:
Zr: 0.000 0.000 0.000
I: 0.000 0.000 0.500
N: 0.500 0.500 0.500
O: 0.000 0.500 0.000
O: 0.500 0.000 0.000

ZrINO2: relaxed, PBE.

Uncorrected formation energy ... -691 meV per atom
Space-group type ... P4/mmm

Cell: 4.101 4.101 4.655 Å, 90.00 90.00 90.00°
Sites, in units of the cell vectors:
Zr: 0.000 0.000 0.000
I: 0.500 0.500 0.500
N: 0.000 0.000 0.500
O: 0.000 0.500 0.000
O: 0.500 0.000 0.000

OsI3N: relaxed, PBE.

Relative energy among the computed polymorphs ... 0 meV/atom
Uncorrected formation energy ... 1933 meV per atom
Space-group type ... Pm-3m

Cell: 5.345 5.345 5.345 Å, 90.00 90.00 90.00°
Sites, in units of the cell vectors:
Os: 0.000 0.000 0.000
I: 0.000 0.000 0.500
I: 0.000 0.500 0.000
I: 0.500 0.000 0.000
N: 0.500 0.500 0.500